Record 1
Entry from the Alexandria database: a geometry-optimized LiHfZr2 structure (PBE-GGA).

Cell: 6.926 6.926 6.926 Å, 90.00 90.00 90.00°
Fractional coordinates of all 16 atoms:
Li  0.000  0.000  0.000
Li  0.000  0.500  0.500
Li  0.500  0.000  0.500
Li  0.500  0.500  0.000
Hf  0.000  0.000  0.500
Hf  0.000  0.500  0.000
Hf  0.500  0.000  0.000
Hf  0.500  0.500  0.500
Zr  0.250  0.250  0.250
Zr  0.250  0.250  0.750
Zr  0.250  0.750  0.250
Zr  0.250  0.750  0.750
Zr  0.750  0.250  0.250
Zr  0.750  0.250  0.750
Zr  0.750  0.750  0.250
Zr  0.750  0.750  0.750

Results
Formation energy ... 1.054 eV/f.u.
Distance to the lowest polymorph of the same formula ... 0.1726 eV/atom

Record 2
Entry from the Alexandria database: a geometry-optimized ZnTeS2 structure (PBE-GGA).

Cell: 3.747 3.747 24.683 Å, 90.00 90.00 120.00°
Fractional coordinates of all 12 atoms:
Zn  0.000  0.000  0.000
Zn  0.333  0.667  0.667
Zn  0.667  0.333  0.333
Te  0.000  0.000  0.500
Te  0.333  0.667  0.167
Te  0.667  0.333  0.833
S  0.000  0.000  0.091
S  0.000  0.000  0.909
S  0.333  0.667  0.576
S  0.333  0.667  0.758
S  0.667  0.333  0.242
S  0.667  0.333  0.424

Results
Distance to the lowest polymorph of the same formula ... 0.3990 eV/atom

Record 3
Entry from the Alexandria database: a geometry-optimized La2TlAs3Rh4 structure (PBE-GGA).

Cell: 4.193 4.193 11.262 Å, 90.00 90.00 90.00°
Fractional coordinates of all 10 atoms:
La  0.000  0.500  0.243
La  0.500  0.000  0.757
Tl  0.000  0.000  0.500
As  0.000  0.500  0.875
As  0.500  0.000  0.125
As  0.500  0.500  0.500
Rh  0.000  0.000  0.000
Rh  0.000  0.500  0.662
Rh  0.500  0.000  0.338
Rh  0.500  0.500  0.000

Results
Formation energy ... -7.977 eV/f.u.

Record 4
Entry from the Alexandria database: a geometry-optimized MgSb3Br structure (PBE-GGA).

Cell: 5.414 5.414 5.414 Å, 90.00 90.00 90.00°
Fractional coordinates of all 5 atoms:
Mg  0.000  0.000  0.000
Sb  0.000  0.000  0.500
Sb  0.000  0.500  0.000
Sb  0.500  0.000  0.000
Br  0.500  0.500  0.500

Results
Distance to the lowest polymorph of the same formula ... 0.0000 eV/atom

Number 1: ρ 7.35 g/cm³. Number 2: ρ 4.27 g/cm³. Number 3: ρ 9.38 g/cm³. Number 4: ρ 4.91 g/cm³.